[1]
{"formula": "MoPtRh2", "functional": "GGA-PBE", "state": "optimized geometry", "lattice": [[-1.836, -0.907, 1.829], [-0.678, -2.049, -1.697], [5.538, -4.563, 3.298]], "species": ["Mo", "Pt", "Rh", "Rh"], "fractional_positions": [[0.000, 0.000, 0.494], [0.500, 0.500, 0.747], [0.000, 0.000, 0.005], [0.500, 0.500, 0.254]], "e_form_ev_per_atom": -0.138, "dos_ef_per_ev_cell": 6.84}

=====

[2]
{"formula": "LaPaHg2", "functional": "GGA-PBE", "state": "optimized geometry", "lattice": [[-2.494, 1.545, 1.544], [-2.895, 0.438, -1.554], [-5.380, -9.057, 3.934]], "species": ["Pa", "Hg", "Hg", "La"], "fractional_positions": [[0.000, 0.000, 0.000], [0.252, 0.252, 0.244], [0.748, 0.748, 0.756], [0.500, 0.500, 0.500]], "e_form_ev_per_atom": -0.032, "dos_ef_per_ev_cell": 6.84}

=====

[3]
{"formula": "Dy2In8Ir", "functional": "GGA-PBE", "state": "optimized geometry", "lattice": [[4.661, 0.000, 0.000], [0.000, 4.661, 0.000], [0.000, 0.000, 12.136]], "species": ["Dy", "Dy", "In", "In", "In", "In", "In", "In", "In", "In", "Ir"], "fractional_positions": [[0.000, 0.000, 0.308], [0.000, 0.000, 0.692], [0.000, 0.500, 0.500], [0.500, 0.000, 0.500], [0.500, 0.500, 0.309], [0.500, 0.500, 0.691], [0.000, 0.500, 0.123], [0.500, 0.000, 0.123], [0.000, 0.500, 0.877], [0.500, 0.000, 0.877], [0.000, 0.000, 0.000]], "e_form_ev_per_atom": -0.368, "dos_ef_per_ev_cell": 5.64}